No. 1
The following is a GGA-PBE calculation of a geometry-optimized UAlPt structure, from the Open Quantum Materials Database.

Cell lengths 6.5718, 6.5718, 4.6015 Å; angles 90.00, 90.00, 120.00 degrees
Element x y z (fractional)
U: 0.0000 0.5231 0.0000
U: 0.4769 0.4769 0.0000
U: 0.5231 0.0000 0.0000
Al: 0.0000 0.0000 0.0000
Al: 0.3333 0.6667 0.5000
Al: 0.6667 0.3333 0.5000
Pt: 0.0000 0.2448 0.5000
Pt: 0.2448 0.0000 0.5000
Pt: 0.7552 0.7552 0.5000

Output
theoretical density: 13.3 Mg/m³
total magnetic moment: 0.68 μB/atom
total energy: -7.528 eV per atom

***

No. 2
The following is a GGA-PBE calculation of a geometry-optimized UAlPt structure, from the Open Quantum Materials Database.

Cell lengths 6.9061, 6.9061, 4.2001 Å; angles 90.00, 90.00, 120.00 degrees
Element x y z (fractional)
U: 0.0000 0.5745 0.0000
U: 0.4255 0.4255 0.0000
U: 0.5745 0.0000 0.0000
Al: 0.0000 0.2379 0.5000
Al: 0.2379 0.0000 0.5000
Al: 0.7621 0.7621 0.5000
Pt: 0.0000 0.0000 0.0000
Pt: 0.3333 0.6667 0.5000
Pt: 0.6667 0.3333 0.5000

Output
theoretical density: 13.2 Mg/m³
total magnetic moment: 0.69 μB/atom
total energy: -7.715 eV per atom

***

No. 3
The following is a GGA-PBE calculation of a geometry-optimized AlPtW structure, from the Open Quantum Materials Database.

Cell lengths 4.2405, 4.2405, 4.2405 Å; angles 60.00, 60.00, 60.00 degrees
Element x y z (fractional)
Al: 0.0000 0.0000 0.0000
Pt: 0.2500 0.2500 0.2500
W: 0.5000 0.5000 0.5000

Output
theoretical density: 12.5 Mg/m³
total magnetic moment: 0.25 μB/atom
total energy: -7.634 eV per atom

***

No. 4
The following is a GGA-PBE calculation of a geometry-optimized AlPtW structure, from the Open Quantum Materials Database.

Cell lengths 4.2803, 4.2803, 4.2803 Å; angles 60.00, 60.00, 60.00 degrees
Element x y z (fractional)
Al: 0.0000 0.0000 0.0000
Pt: 0.5000 0.5000 0.5000
W: 0.2500 0.2500 0.2500

Output
theoretical density: 12.2 Mg/m³
total magnetic moment: 0.00 μB/atom
total energy: -7.252 eV per atom

***

No. 5
The following is a GGA-PBE calculation of a geometry-optimized YAl2Pt3 structure, from the Open Quantum Materials Database.

Cell lengths 4.3578, 4.3578, 12.6985 Å; angles 90.00, 90.00, 120.00 degrees
Element x y z (fractional)
Y: 0.0000 0.0000 0.2500
Y: 0.0000 0.0000 0.7500
Al: 0.3333 0.6667 0.0768
Al: 0.3333 0.6667 0.4232
Al: 0.6667 0.3333 0.5768
Al: 0.6667 0.3333 0.9232
Pt: 0.0000 0.0000 0.0000
Pt: 0.0000 0.0000 0.5000
Pt: 0.3333 0.6667 0.6255
Pt: 0.3333 0.6667 0.8745
Pt: 0.6667 0.3333 0.1255
Pt: 0.6667 0.3333 0.3745

Output
theoretical density: 11.6 Mg/m³
total magnetic moment: 0.00 μB/atom
total energy: -6.527 eV per atom

***

No. 6
The following is a GGA-PBE calculation of a geometry-optimized YAlPt structure, from the Open Quantum Materials Database.

Cell lengths 6.9361, 4.4387, 7.7266 Å; angles 90.00, 90.00, 90.00 degrees
Element x y z (fractional)
Y: 0.0233 0.2500 0.1854
Y: 0.4767 0.7500 0.6854
Y: 0.5233 0.2500 0.3146
Y: 0.9767 0.7500 0.8146
Al: 0.1521 0.2500 0.5679
Al: 0.3479 0.7500 0.0679
Al: 0.6521 0.2500 0.9321
Al: 0.8479 0.7500 0.4321
Pt: 0.2227 0.7500 0.3904
Pt: 0.2773 0.2500 0.8904
Pt: 0.7227 0.7500 0.1096
Pt: 0.7773 0.2500 0.6096

Output
theoretical density: 8.7 Mg/m³
total magnetic moment: 0.00 μB/atom
total energy: -6.581 eV per atom

***

No. 7
The following is a GGA-PBE calculation of a geometry-optimized YAlPt2 structure, from the Open Quantum Materials Database.

Cell lengths 4.6935, 4.6935, 4.6935 Å; angles 60.00, 60.00, 60.00 degrees
Element x y z (fractional)
Y: 0.0000 0.0000 0.0000
Al: 0.7500 0.7500 0.7500
Pt: 0.2500 0.2500 0.2500
Pt: 0.5000 0.5000 0.5000

Output
theoretical density: 11.5 Mg/m³
total magnetic moment: 0.00 μB/atom
total energy: -6.242 eV per atom

***

No. 8
The following is a GGA-PBE calculation of a geometry-optimized YAl2Pt structure, from the Open Quantum Materials Database.

Cell lengths 4.7190, 4.7190, 4.7190 Å; angles 60.00, 60.00, 60.00 degrees
Element x y z (fractional)
Y: 0.0000 0.0000 0.0000
Al: 0.2500 0.2500 0.2500
Al: 0.5000 0.5000 0.5000
Pt: 0.7500 0.7500 0.7500

Output
theoretical density: 7.6 Mg/m³
total magnetic moment: 0.00 μB/atom
total energy: -5.653 eV per atom